Entry from Alexandria via LeMat-Bulk: Cu2PtBr after structural relaxation (GGA-PBE).

Structure (CIF):
```
data_Cu2PtBr
_chemical_formula_sum 'Cu4 Pt2 Br2'
_space_group_name_H-M_alt 'C 1 2/m 1'
_space_group_IT_number 12
_cell_length_a 5.440
_cell_length_b 7.244
_cell_length_c 3.171
_cell_angle_alpha 90.00
_cell_angle_beta 90.16
_cell_angle_gamma 90.00
loop_
_space_group_symop_operation_xyz
'x,y,z'
'-x,-y,-z'
'-x,y,-z'
'x,-y,z'
'x+1/2,y+1/2,z'
'-x+1/2,-y+1/2,-z'
'-x+1/2,y+1/2,-z'
'x+1/2,-y+1/2,z'
loop_
_atom_site_label
_atom_site_fract_x
_atom_site_fract_y
_atom_site_fract_z
Cu1 0.250 0.250 0.000
Pt1 0.000 0.000 0.500
Br1 0.000 0.500 0.500
```

Computed properties:
N(E_F) = 3.265 states/eV per cell
Final energy = -29.2 eV for the cell shown

=====

Entry from Alexandria via LeMat-Bulk: Cu2PtBr2 after structural relaxation (GGA-PBE).

Structure (CIF):
```
data_Cu2PtBr2
_chemical_formula_sum 'Cu4 Pt2 Br4'
_space_group_name_H-M_alt 'P 4/m b m'
_space_group_IT_number 127
_space_group_name_Hall '-P 4 2ab'
_cell_length_a 7.278
_cell_length_b 7.278
_cell_length_c 3.588
_cell_angle_alpha 90.00
_cell_angle_beta 90.00
_cell_angle_gamma 90.00
loop_
_atom_site_label
_atom_site_fract_x
_atom_site_fract_y
_atom_site_fract_z
Cu1 0.123 0.377 0.000
Pt1 0.000 0.000 0.500
Br1 0.195 0.695 0.500
```

Computed properties:
N(E_F) = 1.806 states/eV per cell
Final energy = -30.2 eV for the cell shown

=====

Copy entry 1 word for word.
Entry from Alexandria via LeMat-Bulk: Cu2PtBr after structural relaxation (GGA-PBE).

Structure (CIF):
```
data_Cu2PtBr
_chemical_formula_sum 'Cu4 Pt2 Br2'
_space_group_name_H-M_alt 'C 1 2/m 1'
_space_group_IT_number 12
_cell_length_a 5.440
_cell_length_b 7.244
_cell_length_c 3.171
_cell_angle_alpha 90.00
_cell_angle_beta 90.16
_cell_angle_gamma 90.00
loop_
_space_group_symop_operation_xyz
'x,y,z'
'-x,-y,-z'
'-x,y,-z'
'x,-y,z'
'x+1/2,y+1/2,z'
'-x+1/2,-y+1/2,-z'
'-x+1/2,y+1/2,-z'
'x+1/2,-y+1/2,z'
loop_
_atom_site_label
_atom_site_fract_x
_atom_site_fract_y
_atom_site_fract_z
Cu1 0.250 0.250 0.000
Pt1 0.000 0.000 0.500
Br1 0.000 0.500 0.500
```

Computed properties:
N(E_F) = 3.265 states/eV per cell
Final energy = -29.2 eV for the cell shown